Entry 1:
# Zr8ZnC4

A geometry-optimized Zr8ZnC4 structure (PBE-GGA, Alexandria).

- Energy of formation from the pure elements: -0.546 eV per atom
- Crystal system: monoclinic
- Size of the total moment: 0.00 μB per atom

a b c (Å): 8.3051 8.3051 11.4038
angles (deg): 132.76 132.76 23.44
With the nearest neighbours (Å) after each atom.
Fractional positions:
1 Zr 0.0423 0.0423 0.2092  3 C 2.29-2.32
2 Zr 0.3116 0.3116 0.4545  3 C 2.29-2.31
3 Zr 0.3477 0.3477 0.8902  3 C 2.29-2.32
4 Zr 0.3497 0.3497 0.1687  3 C 2.30-2.31
5 Zr 0.6503 0.6503 0.8313  3 C 2.30-2.31
6 Zr 0.6523 0.6523 0.1098  3 C 2.29-2.32
7 Zr 0.6884 0.6884 0.5455  3 C 2.29-2.31
8 Zr 0.9577 0.9577 0.7908  3 C 2.29-2.32
9 Zn 0.0000 0.0000 0.5000  8 Zr 3.21, 2 Zn 3.37
10 C 0.1530 0.1530 0.9709  6 Zr 2.29-2.32
11 C 0.3219 0.3219 0.6655  6 Zr 2.29-2.32
12 C 0.6781 0.6781 0.3345  6 Zr 2.29-2.32
13 C 0.8470 0.8470 0.0291  6 Zr 2.29-2.32

---

Entry 2:
# Zr3ZnC

A geometry-optimized Zr3ZnC structure (PBE-GGA, Alexandria).

- Energy of formation from the pure elements: -0.430 eV per atom
- Crystal system: orthorhombic
- Size of the total moment: 0.00 μB per atom
- Polymorph energy (0 for the lowest one): 72 meV/atom

a b c (Å): 7.6067 7.6067 3.3602
angles (deg): 90.00 90.00 107.97
With the nearest neighbours (Å) after each atom.
Fractional positions:
1 Zr 0.1733 0.4361 0.5000  2 C 2.28
2 Zr 0.1966 0.8034 0.0000  2 C 2.33
3 Zr 0.4361 0.1733 0.5000  2 C 2.28
4 Zr 0.5639 0.8267 0.5000  2 C 2.28
5 Zr 0.8034 0.1966 0.0000  2 C 2.33
6 Zr 0.8267 0.5639 0.5000  2 C 2.28
7 Zn 0.0000 0.0000 0.5000  8 Zr 2.94-3.17
8 Zn 0.5000 0.5000 0.0000  8 Zr 2.91
9 C 0.0000 0.5000 0.0000  6 Zr 2.28-2.33
10 C 0.5000 0.0000 0.0000  6 Zr 2.28-2.33

---

Entry 3:
# Zr5C3

A geometry-optimized Zr5C3 structure (PBE-GGA, Alexandria).

- Energy of formation from the pure elements: 0.162 eV per atom
- Crystal system: orthorhombic
- Size of the total moment: 0.00 μB per atom
- Polymorph energy (0 for the lowest one): 644 meV/atom

a b c (Å): 6.3045 6.3045 3.4135
angles (deg): 90.00 90.00 111.03
With the nearest neighbours (Å) after each atom.
Fractional positions:
1 Zr 0.0000 0.0000 0.0000  4 C 2.40
2 Zr 0.0000 0.5000 0.0000  4 C 2.63
3 Zr 0.2921 0.2921 0.5000  2 C 2.26
4 Zr 0.5000 0.0000 0.0000  4 C 2.63
5 Zr 0.7079 0.7079 0.5000  2 C 2.26
6 C 0.1620 0.8380 0.5000  8 Zr 2.40-2.68
7 C 0.5000 0.5000 0.0000  4 Zr 2.26
8 C 0.8380 0.1620 0.5000  8 Zr 2.40-2.68

---

Entry 4:
# Zr4C

A geometry-optimized Zr4C structure (PBE-GGA, Alexandria).

- Energy of formation from the pure elements: -0.256 eV per atom
- Crystal system: trigonal
- Size of the total moment: 0.00 μB per atom
- Polymorph energy (0 for the lowest one): 0 meV/atom

a b c (Å): 3.2782 3.2782 10.9822
angles (deg): 90.00 90.00 120.00
With the nearest neighbours (Å) after each atom.
Fractional positions:
1 Zr 0.3333 0.6667 0.1161  3 C 2.28
2 Zr 0.3333 0.6667 0.3901  10 Zr 3.01-3.28
3 Zr 0.6667 0.3333 0.6099  10 Zr 3.01-3.28
4 Zr 0.6667 0.3333 0.8839  3 C 2.28
5 C 0.0000 0.0000 0.0000  6 Zr 2.28